A geometry-optimized Tb3Tm4Th structure. Source: the Alexandria database, functional PBE-GGA.

a b c (Å): 6.206 7.179 11.290
angles (deg): 90.00 90.00 90.00
Sites, in units of the cell vectors:
Tb1 0.645 0.623 0.000
Tb2 0.978 0.624 0.249
Tb3 0.478 0.376 0.251
Tb4 0.145 0.377 0.500
Tb5 0.478 0.376 0.749
Tb6 0.978 0.624 0.751
Tm1 0.147 0.877 0.000
Tm2 0.647 0.127 0.000
Tm3 0.986 0.125 0.249
Tm4 0.486 0.875 0.251
Tm5 0.147 0.873 0.500
Tm6 0.647 0.123 0.500
Tm7 0.486 0.875 0.749
Tm8 0.986 0.125 0.751
Th1 0.149 0.375 0.000
Th2 0.649 0.625 0.500

Summary:
offset from the most stable computed form	4	meV/atom
SG	Pmn2_1, No. 31



A geometry-optimized Tb4Tm6Th structure. Source: the Alexandria database, functional PBE-GGA.

a b c (Å): 7.613 7.613 8.383
angles (deg): 117.01 117.01 90.00
Sites, in units of the cell vectors:
Tb1 0.098 0.753 0.851
Tb2 0.902 0.902 0.149
Tb3 0.753 0.098 0.851
Tb4 0.247 0.247 0.149
Tm1 0.929 0.434 0.364
Tm2 0.434 0.929 0.364
Tm3 0.566 0.566 0.636
Tm4 0.000 0.500 0.000
Tm5 0.071 0.071 0.636
Tm6 0.500 0.000 0.000
Th1 0.500 0.500 0.000

Summary:
offset from the most stable computed form	355	meV/atom
SG	I-42m, No. 121



A geometry-optimized Tb4Tm4Th structure. Source: the Alexandria database, functional PBE-GGA.

a b c (Å): 4.991 7.904 7.904
angles (deg): 84.28 71.60 71.60
Sites, in units of the cell vectors:
Tb1 0.000 0.669 0.331
Tb2 0.000 0.331 0.669
Tb3 0.669 0.331 0.331
Tb4 0.331 0.669 0.669
Tm1 0.335 0.330 0.000
Tm2 0.665 0.670 0.000
Tm3 0.665 0.000 0.670
Tm4 0.335 0.000 0.330
Th1 0.000 0.000 0.000

Summary:
offset from the most stable computed form	0	meV/atom
SG	I4/mmm, No. 139



A geometry-optimized Tb4TmTh4 structure. Source: the Alexandria database, functional PBE-GGA.

a b c (Å): 5.053 7.952 7.952
angles (deg): 84.21 71.47 71.47
Sites, in units of the cell vectors:
Tb1 0.000 0.673 0.327
Tb2 0.000 0.327 0.673
Tb3 0.673 0.327 0.327
Tb4 0.327 0.673 0.673
Tm1 0.000 0.000 0.000
Th1 0.335 0.331 0.000
Th2 0.665 0.669 0.000
Th3 0.665 0.000 0.669
Th4 0.335 0.000 0.331

Summary:
calculated total energy	-5.81	eV per atom
SG	I4/mmm, No. 139



no.,magnetic moment (μB per atom)
1,0.000
2,0.000
3,0.000
4,0.000